First-principles (GGA-PBE) data for a relaxed ScTc2Hg crystal, as listed in the Alexandria database.

Results
Total energy, eV per atom: -6.522

abc: 3.5131 3.5131 5.9391
angles: 90.00 90.00 90.00
Last column: nearest neighbours and their distance in Å.
Atoms (fractional coordinates):
Hg 0.5000 0.5000 0.2500  2 Sc 2.97, 8 Tc 3.06
Sc 0.5000 0.5000 0.7500  8 Tc 2.75, 2 Hg 2.97
Tc 0.0000 0.0000 0.9503  1 Tc 2.38
Tc 0.0000 0.0000 0.5497  1 Tc 2.38